Density functional theory data (PBE) for a relaxed structure of Th2TlZn.

Unit cell a=3.468 b=3.468 c=8.931 alpha=90.00 beta=90.00 gamma=90.00
Positions (direct):
Tl  0.500  0.500  0.500
Zn  0.500  0.500  0.000
Th  0.000  0.000  0.772
Th  0.000  0.000  0.228

Crystal system ... tetragonal
Calculated formation energy ... -0.132 eV/atom
Total magnetization ... 0.000 μB per atom
Calculated total energy ... -4.752 eV per atom